# 1
DFT (PBE-GGA) results for an optimized crystal structure of Pr3NdSn.

Calculated values
- ΔE_f: -62 meV/atom
- Total energy: -4.684 eV/atom

```
data_Pr3NdSn
_chemical_formula_sum 'Pr6 Nd2 Sn2'
_cell_length_a 5.705
_cell_length_b 9.710
_cell_length_c 6.536
_cell_angle_alpha 90.00
_cell_angle_beta 90.00
_cell_angle_gamma 90.00
_space_group_name_H-M_alt 'A m m 2'
_space_group_IT_number 38
loop_
_space_group_symop_operation_xyz
'x,y,z'
'-x,-y,z'
'-x,y,z'
'x,-y,z'
'x,y+1/2,z+1/2'
'-x,-y+1/2,z+1/2'
'-x,y+1/2,z+1/2'
'x,-y+1/2,z+1/2'
loop_
_atom_site_label
_atom_site_fract_x
_atom_site_fract_y
_atom_site_fract_z
Pr1 0.000 0.000 0.000
Pr2 0.500 0.178 0.265
Nd1 0.000 0.000 0.526
Sn1 0.500 0.000 0.760
```

***

# 2
DFT (PBE-GGA) results for an optimized crystal structure of RbAsHBr2.

Calculated values
- Total energy: -1.842 eV/atom
- Excess energy over the best structure of this formula in the dataset: 4.39 eV per formula unit

```
data_RbAsHBr2
_chemical_formula_sum 'Rb1 As1 H1 Br2'
_cell_length_a 6.643
_cell_length_b 6.643
_cell_length_c 8.009
_cell_angle_alpha 90.00
_cell_angle_beta 90.00
_cell_angle_gamma 90.00
_space_group_name_H-M_alt 'P 4/m m m'
_space_group_IT_number 123
_space_group_name_Hall '-P 4 2'
loop_
_atom_site_label
_atom_site_fract_x
_atom_site_fract_y
_atom_site_fract_z
Rb1 0.000 0.000 0.000
As1 0.000 0.000 0.500
H1 0.500 0.500 0.500
Br1 0.000 0.500 0.000
```

***

Number 1: Fermi-level density of states 15.3 states/eV/cell. Number 2: Fermi-level density of states 14.9 states/eV/cell.